<a>
VASP calculation (PBE-GGA) on crystalline KLaTc2 at its relaxed geometry.

Symmetry   No. 123

Cell: 2.817 2.817 10.969 Å, 90.00 90.00 90.00°
Positions (direct):
1 K 0.000 0.000 0.000
2 La 0.000 0.000 0.500
3 Tc 0.500 0.500 0.266
4 Tc 0.500 0.500 0.734

=====

<b>
VASP calculation (PBE-GGA) on crystalline KLaTc2 at its relaxed geometry.

Symmetry   No. 119

Cell: 4.944 4.944 4.944 Å, 120.10 120.10 89.83°
Positions (direct):
1 K 0.000 0.000 0.000
2 La 0.250 0.750 0.500
3 Tc 0.500 0.500 0.000
4 Tc 0.750 0.250 0.500

=====

<c>
VASP calculation (PBE-GGA) on crystalline KLaTc2 at its relaxed geometry.

Symmetry   No. 47

Cell: 3.981 3.991 5.240 Å, 90.00 90.00 90.00°
Positions (direct):
1 K 0.000 0.000 0.000
2 La 0.500 0.500 0.000
3 Tc 0.000 0.500 0.500
4 Tc 0.500 0.000 0.500

=====

If we sort the structures by their calculated energies, the order from most to least stable is <a>, <b>, <c>.